1.
NaCaI2 PBE optimized geometry; DOS(E_F) = 1.06 states/eV/f.u.; SG = No. 160; calculated total energy = -2.688 eV/atom
1.0
-1.228 0.338 4.133
-4.000 -1.159 1.169
0.985 -8.216 3.228
Na Ca I
1 1 2
Cartesian
-2.505 -8.752 6.760
-2.122 -4.519 4.265
-1.087 -2.183 2.119
0.333 -6.318 2.878

=====

2.
BaPuGa2Ge2 PBE optimized geometry; DOS(E_F) = 13.36 states/eV/f.u.; ΔE_f = -431 meV per atom; SG = No. 164
1.0
4.263 0.000 0.000
-2.131 3.692 0.000
0.000 0.000 9.634
Ge Ga Pu Ba
2 2 1 1
Cartesian
0.000 2.461 3.070
2.131 1.231 6.564
2.131 1.231 2.332
0.000 2.461 7.302
0.000 0.000 4.817
0.000 0.000 0.000

=====

Among the records above, which one has the lowest DOS(E_F)?
NaCaI2

=====

What is the DOS(E_F) in the first record?
1.06 states/eV/f.u.

=====

Please write out number 2 again, unchanged.
BaPuGa2Ge2 PBE optimized geometry; DOS(E_F) = 13.36 states/eV/f.u.; ΔE_f = -431 meV per atom; SG = No. 164
1.0
4.263 0.000 0.000
-2.131 3.692 0.000
0.000 0.000 9.634
Ge Ga Pu Ba
2 2 1 1
Cartesian
0.000 2.461 3.070
2.131 1.231 6.564
2.131 1.231 2.332
0.000 2.461 7.302
0.000 0.000 4.817
0.000 0.000 0.000

=====

What is the DOS(E_F) in the second record?
13.36 states/eV/f.u.